{
  "formula": "InSnO3",
  "functional": "PBE-GGA",
  "state": "relaxed",
  "total_energy_ev_per_cell": -57.3,
  "lattice_angstrom": [[2.7809, -4.8178, 0.0000], [2.7809, 4.8178, 0.0000], [-0.0101, 0.0000, 6.6301]],
  "species": ["In", "In", "Sn", "Sn", "O", "O", "O", "O", "O", "O"],
  "frac_coords": [[0.1667, 0.8333, 0.0000], [0.8333, 0.1667, 0.0000], [0.4994, 0.4994, 0.7145], [0.5006, 0.5006, 0.2855], [0.1612, 0.1612, 0.8202], [0.1621, 0.5006, 0.1796], [0.4994, 0.8379, 0.8204], [0.5006, 0.1621, 0.1796], [0.8379, 0.4994, 0.8204], [0.8388, 0.8388, 0.1798]]
}



{
  "formula": "InSnO2",
  "functional": "PBE-GGA",
  "state": "relaxed",
  "total_energy_ev_per_cell": -21.6,
  "e_above_lowest_polymorph_mev_per_atom": 0,
  "lattice_angstrom": [[1.6458, 0.9502, 6.8257], [-1.6458, 0.9502, 6.8257], [0.0000, -1.9004, 6.8257]],
  "species": ["In", "Sn", "O", "O"],
  "frac_coords": [[0.0000, 0.0000, 0.0000], [0.5000, 0.5000, 0.5000], [0.3878, 0.3878, 0.3878], [0.6122, 0.6122, 0.6122]]
}



{
  "formula": "In3SnO",
  "functional": "PBE-GGA",
  "state": "relaxed",
  "total_energy_ev_per_cell": -13.4,
  "e_above_lowest_polymorph_mev_per_atom": 980,
  "lattice_angstrom": [[5.6782, 0.0000, 0.0000], [0.0000, 5.6782, 0.0000], [0.0000, 0.0000, 5.6782]],
  "species": ["In", "In", "In", "Sn", "O"],
  "frac_coords": [[0.0000, 0.0000, 0.5000], [0.0000, 0.5000, 0.0000], [0.5000, 0.0000, 0.0000], [0.0000, 0.0000, 0.0000], [0.5000, 0.5000, 0.5000]]
}



{
  "formula": "In3SnO6",
  "functional": "PBE-GGA",
  "state": "relaxed",
  "total_energy_ev_per_cell": -113.7,
  "lattice_angstrom": [[4.6677, 2.6949, 3.7349], [-4.6677, 2.6949, 3.7349], [0.0000, -5.3898, 3.7349]],
  "species": ["In", "In", "In", "In", "In", "In", "Sn", "Sn", "O", "O", "O", "O", "O", "O", "O", "O", "O", "O", "O", "O"],
  "frac_coords": [[0.0524, 0.7484, 0.5637], [0.2516, 0.4363, 0.9476], [0.4363, 0.9476, 0.2516], [0.5637, 0.0524, 0.7484], [0.7484, 0.5637, 0.0524], [0.9476, 0.2516, 0.4363], [0.0000, 0.0000, 0.0000], [0.5000, 0.5000, 0.5000], [0.0370, 0.6915, 0.9032], [0.0968, 0.9630, 0.3085], [0.1929, 0.4326, 0.5869], [0.3085, 0.0968, 0.9630], [0.4131, 0.8071, 0.5674], [0.4326, 0.5869, 0.1929], [0.5674, 0.4131, 0.8071], [0.5869, 0.1929, 0.4326], [0.6915, 0.9032, 0.0370], [0.8071, 0.5674, 0.4131], [0.9032, 0.0370, 0.6915], [0.9630, 0.3085, 0.0968]]
}



{
  "formula": "InSnO3",
  "functional": "PBE-GGA",
  "state": "relaxed",
  "total_energy_ev_per_cell": -54.7,
  "lattice_angstrom": [[5.8508, 0.0000, 0.0000], [-2.9254, 5.0669, 0.0000], [0.0000, 0.0000, 5.9964]],
  "species": ["In", "In", "Sn", "Sn", "O", "O", "O", "O", "O", "O"],
  "frac_coords": [[0.0000, 0.0000, 0.0000], [0.0000, 0.0000, 0.5000], [0.3333, 0.6667, 0.0000], [0.3333, 0.6667, 0.5000], [0.1674, 0.3388, 0.2500], [0.1674, 0.8285, 0.7500], [0.1715, 0.3388, 0.7500], [0.1715, 0.8326, 0.2500], [0.6612, 0.8285, 0.2500], [0.6612, 0.8326, 0.7500]]
}



{
  "formula": "InSnO3",
  "functional": "PBE-GGA",
  "state": "relaxed",
  "total_energy_ev_per_cell": -27.0,
  "lattice_angstrom": [[4.0478, 0.0000, 0.0000], [0.0000, 4.0478, 0.0000], [0.0000, 0.0000, 4.0478]],
  "species": ["In", "Sn", "O", "O", "O"],
  "frac_coords": [[0.0000, 0.0000, 0.0000], [0.5000, 0.5000, 0.5000], [0.0000, 0.5000, 0.5000], [0.5000, 0.0000, 0.5000], [0.5000, 0.5000, 0.0000]]
}



Number 1: uncorrected formation energy -32.358 kcal/mol of atoms. Number 2: uncorrected formation energy -28.556 kcal/mol of atoms. Number 3: uncorrected formation energy 17.379 kcal/mol of atoms. Number 4: uncorrected formation energy -34.367 kcal/mol of atoms. Number 5: uncorrected formation energy -26.469 kcal/mol of atoms. Number 6: uncorrected formation energy -24.953 kcal/mol of atoms.